Compound: Sc2MnTc
Source: the Alexandria database
Functional: SCAN
Structure: single point on PBEsol structure

a = 2.882 Å, b = 2.882 Å, c = 8.202 Å
α = 90.00°, β = 90.00°, γ = 108.22°
Element x y z (fractional)
Sc  0.000  0.000  0.247
Sc  0.000  0.000  0.753
Mn  0.500  0.500  0.000
Tc  0.500  0.500  0.500

Properties
The space group is Cmmm, No. 65. As for the total magnetization: 2.7 Bohr magnetons per cell. The calculation puts the density of states at the Fermi level at 3.7 states/eV/cell. The crystal system is orthorhombic. The calculation puts the calculated total energy at -81.6 eV per cell. For the formation energy, the calculation gives 0.23 eV/f.u. The calculation puts the theoretical density at 6.23 g/cm³.

=====

Compound: Tl8SnTe6Pb
Source: the Alexandria database
Functional: SCAN
Structure: single point on PBEsol structure

a = 8.923 Å, b = 8.923 Å, c = 8.923 Å
α = 121.57°, β = 121.57°, γ = 87.30°
Element x y z (fractional)
Tl  0.016  0.807  0.501
Tl  0.193  0.694  0.208
Tl  0.306  0.515  0.499
Tl  0.485  0.984  0.792
Tl  0.515  0.016  0.208
Tl  0.694  0.485  0.501
Tl  0.807  0.306  0.792
Tl  0.984  0.193  0.499
Sn  0.000  0.000  0.000
Te  0.160  0.665  0.825
Te  0.247  0.247  0.000
Te  0.335  0.160  0.495
Te  0.665  0.840  0.505
Te  0.753  0.753  0.000
Te  0.840  0.335  0.175
Pb  0.500  0.500  0.000

Properties
The space group is I4/m, No. 87. As for the total magnetization: 0.0 Bohr magnetons per cell. The crystal system is tetragonal. The calculation puts the calculated total energy at -918.8 eV per cell. The calculation puts the theoretical density at 9.24 g/cm³.

=====

Compound: KCr5S8
Source: the Alexandria database
Functional: SCAN
Structure: single point on PBEsol structure

a = 9.011 Å, b = 9.011 Å, c = 8.499 Å
α = 104.87°, β = 104.87°, γ = 22.03°
Element x y z (fractional)
K  0.000  0.000  0.000
Cr  0.158  0.158  0.472
Cr  0.204  0.204  0.835
Cr  0.500  0.500  0.500
Cr  0.796  0.796  0.165
Cr  0.842  0.842  0.528
S  0.076  0.076  0.651
S  0.262  0.262  0.344
S  0.329  0.329  0.011
S  0.415  0.415  0.676
S  0.585  0.585  0.324
S  0.671  0.671  0.989
S  0.738  0.738  0.656
S  0.924  0.924  0.349

Properties
The space group is C2/m, No. 12. As for the total magnetization: 15.0 Bohr magnetons per cell. The crystal system is monoclinic. The calculation puts the calculated total energy at -194.2 eV per cell. The calculation puts the theoretical density at 3.69 g/cm³.

=====

Compound: NaFeP2O
Source: the Alexandria database
Functional: SCAN
Structure: single point on PBEsol structure

a = 4.721 Å, b = 4.721 Å, c = 3.826 Å
α = 90.00°, β = 90.00°, γ = 90.00°
Element x y z (fractional)
Na  0.000  0.000  0.000
Fe  0.500  0.500  0.500
P  0.000  0.500  0.000
P  0.500  0.000  0.000
O  0.000  0.000  0.500

Properties
The space group is P4/mmm, No. 123. As for the total magnetization: 2.1 Bohr magnetons per cell. The value obtained for the energy above the most stable polymorph in this dataset is 1418 meV/atom. The calculation puts the density of states at the Fermi level at 3.5 states/eV/cell. The crystal system is tetragonal. The calculation puts the calculated total energy at -42.7 eV per cell. The calculation puts the theoretical density at 3.05 g/cm³.